# Sr2PrPd4Pb3, optimized geometry, DFT PBE
data_Sr2PrPd4Pb3
_space_group_name_H-M_alt 'P -4 m 2'
_space_group_IT_number 115
_cell_length_a 4.806
_cell_length_b 4.806
_cell_length_c 11.511
_cell_angle_alpha 90.00
_cell_angle_beta 90.00
_cell_angle_gamma 90.00
loop_
_space_group_symop_operation_xyz
'x,y,z'
'y,-x,-z'
'-x,-y,z'
'-y,x,-z'
'-x,y,z'
'-y,-x,-z'
'x,-y,z'
'y,x,-z'
loop_
_atom_site_label
_atom_site_fract_x
_atom_site_fract_y
_atom_site_fract_z
_atom_site_occupancy
Sr1 0.000 0.500 0.220 1
Pr1 0.000 0.000 0.500 1
Pd1 0.000 0.000 0.000 1
Pd2 0.000 0.500 0.646 1
Pd3 0.500 0.500 0.000 1
Pb1 0.000 0.500 0.881 1
Pb2 0.500 0.500 0.500 1
# Crystal system: tetragonal
# ρ in kg/m3: 8515
# Uncorrected energy in eV/cell: -45.63
# ΔE_f in eV/atom: -0.559


# SrMg4Zn2Ag, optimized geometry, DFT PBE
data_SrMg4Zn2Ag
_space_group_name_H-M_alt 'R -3 m'
_space_group_IT_number 166
_space_group_name_Hall '-R 3 2"'
_cell_length_a 4.7105
_cell_length_b 4.7105
_cell_length_c 29.1459
_cell_angle_alpha 90.00
_cell_angle_beta 90.00
_cell_angle_gamma 120.00
loop_
_atom_site_label
_atom_site_fract_x
_atom_site_fract_y
_atom_site_fract_z
_atom_site_occupancy
Sr1 0.0000 0.0000 0.0000 1
Mg1 0.0000 0.0000 0.1340 1
Mg2 0.0000 0.0000 0.4079 1
Zn1 0.0000 0.0000 0.2480 1
Ag1 0.0000 0.0000 0.5000 1
# Crystal system: trigonal
# ρ in kg/m3: 3767
# Uncorrected energy in eV/cell: -42.73
# ΔE_f in eV/atom: -0.098


# Ga2AuO, optimized geometry, DFT PBE
data_Ga2AuO
_space_group_name_H-M_alt 'I -4 2 d'
_space_group_IT_number 122
_space_group_name_Hall 'I -4 2bw'
_cell_length_a 5.821
_cell_length_b 5.821
_cell_length_c 8.255
_cell_angle_alpha 90.00
_cell_angle_beta 90.00
_cell_angle_gamma 90.00
loop_
_atom_site_label
_atom_site_fract_x
_atom_site_fract_y
_atom_site_fract_z
_atom_site_occupancy
Ga1 0.186 0.250 0.125 1
Au1 0.000 0.000 0.500 1
O1 0.000 0.000 0.000 1
# Crystal system: tetragonal
# ρ in kg/m3: 8367
# Uncorrected energy in eV/cell: -66.94
# Formation energy without anion corrections in kcal/mol of atoms: -14.10